## NaCaZn10 (GGA-PBE)

Data for a relaxed NaCaZn10 crystal.

Cell lengths 4.2882, 5.3620, 9.2431 Å; angles 90.00, 90.00, 90.00 degrees
Space group Pmmm (No. 47)
Unique sites:
Na  0.0000  0.0000  0.0000
Ca  0.0000  0.5000  0.5000
Zn  0.0000  0.0000  0.3261
Zn  0.0000  0.5000  0.1607
Zn  0.5000  0.0000  0.5000
Zn  0.5000  0.2541  0.2548
Zn  0.5000  0.5000  0.0000

## Properties
crystal system: orthorhombic
calculated formation energy: -0.122 eV per atom
magnetic moment: 0.00 μB/cell
raw total energy: -1.4602 eV per atom